1.
# BaSrLa2 | the Alexandria database | PBE-GGA | optimized geometry
data_BaSrLa2
_chemical_formula_sum 'Ba1 Sr1 La2'
_cell_length_a 4.067
_cell_length_b 4.850
_cell_length_c 9.524
_cell_angle_alpha 90.00
_cell_angle_beta 90.00
_cell_angle_gamma 90.00
_symmetry_space_group_name_H-M 'P m m 2'
_symmetry_Int_Tables_number 25
_symmetry_space_group_name_Hall 'P 2 -2'
loop_
_atom_site_label
_atom_site_fract_x
_atom_site_fract_y
_atom_site_fract_z
_atom_site_occupancy
Ba1 0.000 0.000 0.000 1
Sr1 0.500 0.500 0.681 1
La1 0.000 0.000 0.425 1
La2 0.500 0.500 0.272 1
# ΔE_f (meV per atom): 123
# Distance to the lowest polymorph of the same formula (eV/f.u.): 0.18



2.
# Pu8Tc5Ge | the Alexandria database | PBE-GGA | optimized geometry
data_Pu8Tc5Ge
_chemical_formula_sum 'Pu16 Tc10 Ge2'
_cell_length_a 8.456
_cell_length_b 8.456
_cell_length_c 8.336
_cell_angle_alpha 90.00
_cell_angle_beta 90.00
_cell_angle_gamma 90.00
_symmetry_space_group_name_H-M 'I -4'
_symmetry_Int_Tables_number 82
_symmetry_space_group_name_Hall 'I -4'
loop_
_atom_site_label
_atom_site_fract_x
_atom_site_fract_y
_atom_site_fract_z
_atom_site_occupancy
Pu1 0.067 0.331 0.062 1
Pu2 0.069 0.182 0.691 1
Tc1 0.000 0.500 0.750 1
Tc2 0.146 0.243 0.360 1
Ge1 0.000 0.000 0.000 1
# ΔE_f (meV per atom): 112



3.
# Sc2Si4W3 | the Alexandria database | PBE-GGA | optimized geometry
data_Sc2Si4W3
_chemical_formula_sum 'Sc4 Si8 W6'
_cell_length_a 6.704
_cell_length_b 6.771
_cell_length_c 6.580
_cell_angle_alpha 90.00
_cell_angle_beta 108.83
_cell_angle_gamma 90.00
_symmetry_space_group_name_H-M 'P 1 21/c 1'
_symmetry_Int_Tables_number 14
_symmetry_space_group_name_Hall '-P 2ybc'
loop_
_atom_site_label
_atom_site_fract_x
_atom_site_fract_y
_atom_site_fract_z
_atom_site_occupancy
Sc1 0.190 0.170 0.060 1
Si1 0.085 0.539 0.859 1
Si2 0.496 0.132 0.871 1
W1 0.247 0.664 0.247 1
W2 0.500 0.000 0.500 1
# Formation energy from raw total energies (kJ per mole of atoms): -56.35
# Distance to the lowest polymorph of the same formula (eV/f.u.): 0.11



4.
# RhPb2C | the Alexandria database | PBE-GGA | optimized geometry
data_RhPb2C
_chemical_formula_sum 'Rh4 Pb8 C4'
_cell_length_a 6.315
_cell_length_b 6.315
_cell_length_c 8.836
_cell_angle_alpha 90.00
_cell_angle_beta 90.00
_cell_angle_gamma 90.00
_symmetry_space_group_name_H-M 'I -4 2 d'
_symmetry_Int_Tables_number 122
_symmetry_space_group_name_Hall 'I -4 2bw'
loop_
_atom_site_label
_atom_site_fract_x
_atom_site_fract_y
_atom_site_fract_z
_atom_site_occupancy
Rh1 0.000 0.000 0.000 1
Pb1 0.202 0.750 0.625 1
C1 0.000 0.000 0.500 1
# ΔE_f (meV per atom): 1044



5.
# PrAlGa2 | the Alexandria database | PBE-GGA | optimized geometry
data_PrAlGa2
_chemical_formula_sum 'Pr8 Al8 Ga16'
_cell_length_a 14.284
_cell_length_b 4.260
_cell_length_c 11.194
_cell_angle_alpha 90.00
_cell_angle_beta 90.00
_cell_angle_gamma 90.00
_symmetry_space_group_name_H-M 'P n m a'
_symmetry_Int_Tables_number 62
_symmetry_space_group_name_Hall '-P 2ac 2n'
loop_
_atom_site_label
_atom_site_fract_x
_atom_site_fract_y
_atom_site_fract_z
_atom_site_occupancy
Pr1 0.050 0.250 0.249 1
Pr2 0.200 0.750 0.965 1
Al1 0.056 0.250 0.552 1
Al2 0.203 0.750 0.670 1
Ga1 0.038 0.250 0.972 1
Ga2 0.114 0.250 0.772 1
Ga3 0.131 0.750 0.453 1
Ga4 0.207 0.750 0.248 1
# ΔE_f (meV per atom): -556



6.
# Ce2Si3Tc | the Alexandria database | PBE-GGA | optimized geometry
data_Ce2Si3Tc
_chemical_formula_sum 'Ce4 Si6 Tc2'
_cell_length_a 5.5370
_cell_length_b 5.5370
_cell_length_c 8.1333
_cell_angle_alpha 90.00
_cell_angle_beta 90.00
_cell_angle_gamma 120.00
_symmetry_space_group_name_H-M 'P 63/m m c'
_symmetry_Int_Tables_number 194
_symmetry_space_group_name_Hall '-P 6c 2c'
loop_
_atom_site_label
_atom_site_fract_x
_atom_site_fract_y
_atom_site_fract_z
_atom_site_occupancy
Ce1 0.3333 0.6667 0.0825 1
Si1 0.1628 0.3256 0.7500 1
Tc1 0.0000 0.0000 0.0000 1
# Formation energy from raw total energies (kJ per mole of atoms): -60.13
# Distance to the lowest polymorph of the same formula (eV/f.u.): 0.02



7.
# Rb2PdRhO4 | the Alexandria database | PBE-GGA | optimized geometry
data_Rb2PdRhO4
_chemical_formula_sum 'Rb4 Pd2 Rh2 O8'
_cell_length_a 6.454
_cell_length_b 6.454
_cell_length_c 6.973
_cell_angle_alpha 90.00
_cell_angle_beta 90.00
_cell_angle_gamma 90.00
_symmetry_space_group_name_H-M 'I -4'
_symmetry_Int_Tables_number 82
_symmetry_space_group_name_Hall 'I -4'
loop_
_atom_site_label
_atom_site_fract_x
_atom_site_fract_y
_atom_site_fract_z
_atom_site_occupancy
Rb1 0.000 0.000 0.000 1
Rb2 0.000 0.500 0.250 1
Pd1 0.000 0.000 0.500 1
Rh1 0.000 0.500 0.750 1
O1 0.126 0.725 0.613 1
# Formation energy from raw total energies (kJ per mole of atoms): -72.51



8.
# ScInOs2 | the Alexandria database | PBE-GGA | optimized geometry
data_ScInOs2
_chemical_formula_sum 'Sc4 In4 Os8'
_cell_length_a 6.488
_cell_length_b 6.488
_cell_length_c 6.488
_cell_angle_alpha 90.00
_cell_angle_beta 90.00
_cell_angle_gamma 90.00
_symmetry_space_group_name_H-M 'F -4 3 m'
_symmetry_Int_Tables_number 216
_symmetry_space_group_name_Hall 'F -4 2 3'
loop_
_atom_site_label
_atom_site_fract_x
_atom_site_fract_y
_atom_site_fract_z
_atom_site_occupancy
Sc1 0.000 0.000 0.000 1
In1 0.250 0.250 0.250 1
Os1 0.000 0.000 0.500 1
Os2 0.250 0.250 0.750 1
# ΔE_f (meV per atom): 264



9.
# CoNiHg2 | the Alexandria database | PBE-GGA | optimized geometry
data_CoNiHg2
_chemical_formula_sum 'Co2 Ni2 Hg4'
_cell_length_a 2.922
_cell_length_b 4.617
_cell_length_c 9.696
_cell_angle_alpha 90.00
_cell_angle_beta 90.00
_cell_angle_gamma 90.00
_symmetry_space_group_name_H-M 'I m m 2'
_symmetry_Int_Tables_number 44
_symmetry_space_group_name_Hall 'I 2 -2'
loop_
_atom_site_label
_atom_site_fract_x
_atom_site_fract_y
_atom_site_fract_z
_atom_site_occupancy
Co1 0.000 0.000 0.000 1
Ni1 0.000 0.500 0.299 1
Hg1 0.000 0.000 0.544 1
Hg2 0.000 0.500 0.759 1
# ΔE_f (meV per atom): 401
# Distance to the lowest polymorph of the same formula (eV/f.u.): 0.38



10.
# NiW | the Alexandria database | PBE-GGA | optimized geometry
data_NiW
_chemical_formula_sum 'Ni1 W1'
_cell_length_a 2.686
_cell_length_b 2.686
_cell_length_c 3.735
_cell_angle_alpha 90.00
_cell_angle_beta 90.00
_cell_angle_gamma 90.00
_symmetry_space_group_name_H-M 'P 4/m m m'
_symmetry_Int_Tables_number 123
_symmetry_space_group_name_Hall '-P 4 2'
loop_
_atom_site_label
_atom_site_fract_x
_atom_site_fract_y
_atom_site_fract_z
_atom_site_occupancy
Ni1 0.000 0.000 0.000 1
W1 0.500 0.500 0.500 1
# ΔE_f (meV per atom): 80



11.
# BaSrTc2 | the Alexandria database | PBE-GGA | optimized geometry
data_BaSrTc2
_chemical_formula_sum 'Ba2 Sr2 Tc4'
_cell_length_a 3.837
_cell_length_b 5.484
_cell_length_c 11.147
_cell_angle_alpha 90.00
_cell_angle_beta 90.00
_cell_angle_gamma 90.00
_symmetry_space_group_name_H-M 'I m m 2'
_symmetry_Int_Tables_number 44
_symmetry_space_group_name_Hall 'I 2 -2'
loop_
_atom_site_label
_atom_site_fract_x
_atom_site_fract_y
_atom_site_fract_z
_atom_site_occupancy
Ba1 0.000 0.000 0.000 1
Sr1 0.000 0.500 0.784 1
Tc1 0.000 0.000 0.593 1
Tc2 0.000 0.500 0.212 1
# ΔE_f (meV per atom): 539
# Distance to the lowest polymorph of the same formula (eV/f.u.): 1.01



12.
# CaHfSi | the Alexandria database | PBE-GGA | optimized geometry
data_CaHfSi
_chemical_formula_sum 'Ca2 Hf2 Si2'
_cell_length_a 4.342
_cell_length_b 4.342
_cell_length_c 7.675
_cell_angle_alpha 90.00
_cell_angle_beta 90.00
_cell_angle_gamma 90.00
_symmetry_space_group_name_H-M 'P 4/n m m'
_symmetry_Int_Tables_number 129
loop_
_symmetry_equiv_pos_as_xyz
'x,y,z'
'-x,-y,-z'
'-y+1/2,x,z'
'y+1/2,-x,-z'
'-x+1/2,-y+1/2,z'
'x+1/2,y+1/2,-z'
'y,-x+1/2,z'
'-y,x+1/2,-z'
'x+1/2,-y,-z'
'-x+1/2,y,z'
'-y,-x,-z'
'y,x,z'
'-x,y+1/2,-z'
'x,-y+1/2,z'
'y+1/2,x+1/2,-z'
'-y+1/2,-x+1/2,z'
loop_
_atom_site_label
_atom_site_fract_x
_atom_site_fract_y
_atom_site_fract_z
_atom_site_occupancy
Ca1 0.250 0.250 0.148 1
Hf1 0.250 0.750 0.500 1
Si1 0.250 0.250 0.726 1
# Formation energy from raw total energies (kJ per mole of atoms): -40.54



| no. | M_tot (Bohr magnetons per cell) |
| --- | --- |
| 1 | 0.000 |
| 2 | 70.006 |
| 3 | 0.000 |
| 4 | 0.000 |
| 5 | 0.000 |
| 6 | 0.198 |
| 7 | 0.000 |
| 8 | 4.040 |
| 9 | 3.868 |
| 10 | 0.000 |
| 11 | 0.000 |
| 12 | 0.000 |